Entry 1:
First-principles (GGA-PBE) data for an optimized crystal structure of MgCdCoSi, as listed in OQMD via LeMat-Bulk.

Values from the calculation:
Space group: F-43m, No. 216
Total energy in eV per atom: -3.57
M_tot in μB/f.u.: 0.011

Lattice parameters (Å, degrees): 4.412 4.412 4.412 60.00 60.00 60.00
Fractional coordinates of all 4 atoms:
Mg  0.000  0.000  0.000
Cd  0.750  0.750  0.750
Co  0.500  0.500  0.500
Si  0.250  0.250  0.250

---

Entry 2:
First-principles (GGA-PBE) data for an optimized crystal structure of LuFeRe, as listed in OQMD via LeMat-Bulk.

Values from the calculation:
Space group: F-43m, No. 216
Energy relative to the elements in eV per atom: 1.55
M_tot in μB/f.u.: 4.018

Lattice parameters (Å, degrees): 4.418 4.418 4.418 60.00 60.00 60.00
Fractional coordinates of all 3 atoms:
Lu  0.000  0.000  0.000
Fe  0.750  0.750  0.750
Re  0.250  0.250  0.250